A geometry-optimized Cs5Rb6 structure, computed with PBE-GGA.

- energy of formation from the pure elements (meV per atom) = 32

```
Cs5Rb6
1.0
4.127 -12.215 0.000
4.127 12.215 0.000
-0.106 0.000 11.404
Cs Rb
5 6
Cartesian
0.000 0.000 0.000 Cs
4.074 4.424 5.702 Cs
4.127 4.348 0.000 Cs
4.127 -4.348 0.000 Cs
4.074 -4.424 5.702 Cs
4.048 8.802 8.237 Rb
4.101 8.802 3.167 Rb
4.026 0.000 8.277 Rb
4.123 0.000 3.127 Rb
4.048 -8.802 8.237 Rb
4.101 -8.802 3.167 Rb
```

A geometry-optimized Cs2Rb7 structure, computed with PBE-GGA.

- energy of formation from the pure elements (meV per atom) = 6

```
Cs2Rb7
1.0
8.856 0.000 0.000
-4.428 7.670 0.000
0.000 0.000 12.493
Cs Rb
2 7
Cartesian
0.000 5.113 0.000 Cs
4.428 2.557 0.000 Cs
0.000 0.000 0.000 Rb
-1.460 2.529 8.270 Rb
-2.968 5.141 4.224 Rb
2.920 0.000 8.270 Rb
1.460 2.529 4.224 Rb
5.936 0.000 4.224 Rb
2.968 5.141 8.270 Rb
```

A geometry-optimized Cs3Rb2 structure, computed with PBE-GGA.

- energy of formation from the pure elements (meV per atom) = 22

```
Cs3Rb2
1.0
7.228 4.173 5.899
-7.228 4.173 5.899
0.000 -8.346 5.899
Cs Rb
6 4
Cartesian
-4.865 -0.080 7.373 Cs
-2.363 -4.253 10.323 Cs
2.501 -4.173 7.373 Cs
-2.501 4.173 10.323 Cs
2.363 4.253 7.373 Cs
4.865 0.080 10.323 Cs
0.000 0.000 2.199 Rb
0.000 0.000 6.649 Rb
0.000 0.000 11.047 Rb
0.000 0.000 15.497 Rb
```

A geometry-optimized Cs4Rb7 structure, computed with PBE-GGA.

- energy of formation from the pure elements (meV per atom) = 31

```
Cs4Rb7
1.0
16.005 0.000 0.000
-8.002 13.860 0.000
0.000 0.000 5.060
Cs Rb
4 7
Cartesian
0.000 0.000 0.000 Cs
-3.408 7.273 2.530 Cs
3.408 7.273 2.530 Cs
0.000 13.176 2.530 Cs
0.000 4.604 0.000 Rb
-4.015 11.559 0.000 Rb
4.020 2.321 2.530 Rb
8.002 4.620 0.000 Rb
4.015 11.559 0.000 Rb
11.985 2.321 2.530 Rb
8.002 9.218 2.530 Rb
```